{
  "formula": "Sc3MnOs",
  "functional": "GGA-PBE",
  "state": "relaxed",
  "lattice": [[-2.0759, -3.9962, 2.2053], [3.6814, -2.8981, -1.7862], [2.6982, 0.8796, 4.1338]],
  "species": ["Sc", "Sc", "Sc", "Os", "Mn"],
  "frac_coords": [[0.5000, 0.0000, 0.0000], [0.0000, 0.0000, 0.5000], [0.0000, 0.5000, 0.0000], [0.0000, 0.0000, 0.0000], [0.5000, 0.5000, 0.5000]],
  "space_group": "Pm-3m",
  "polymorph_energy_mev_per_atom": 0,
  "total_magnetization_mub_per_fu": 4.3,
  "mass_density_g_cm3": 5.01,
  "formation_enthalpy_0k_mev_per_atom": 290.8,
  "dos_at_fermi_per_ev_atom": 1.23
}